(1)
The following is a DFT calculation (PBE) of a geometry-optimized Ce6Tl2Hg structure.

Cell lengths 7.0893, 7.0893, 5.7347 Å; angles 105.20, 105.20, 73.40 degrees
Last column: nearest neighbours and their distance in Å.
Sites, in units of the cell vectors:
Ce1 0.1072 0.5356 0.2340  2 Ce 2.71-2.96
Ce2 0.1648 0.8352 0.0000  3 Ce 2.79-2.96
Ce3 0.4644 0.8928 0.7660  2 Ce 2.71-2.96
Ce4 0.5356 0.1072 0.2340  2 Ce 2.71-2.96
Ce5 0.8352 0.1648 0.0000  3 Ce 2.79-2.96
Ce6 0.8928 0.4644 0.7660  2 Ce 2.71-2.96
Tl1 0.3822 0.3822 0.7475  1 Tl 3.24, 8 Ce 3.27-3.58
Tl2 0.6178 0.6178 0.2525  1 Tl 3.24, 8 Ce 3.27-3.58
Hg1 0.0000 0.0000 0.5000  8 Ce 3.19-3.21

**Energy above the lowest structure with this stoichiometry**: 116 meV/atom
**Calculated volume**: 261.0 Å³/f.u.
**Energy of formation from the pure elements**: 0.0071 eV per atom

(2)
The following is a DFT calculation (PBE) of a geometry-optimized Th2AgP2O structure.

Cell lengths 3.3578, 3.3578, 14.5979 Å; angles 90.00, 90.00, 90.00 degrees
Last column: nearest neighbours and their distance in Å.
Sites, in units of the cell vectors:
Th1 0.0000 0.0000 0.1461  1 O 2.13
Th2 0.0000 0.0000 0.8539  1 O 2.13
Ag1 0.0000 0.0000 0.5000  2 P 2.38
P1 0.0000 0.0000 0.3369  1 Ag 2.38
P2 0.0000 0.0000 0.6631  1 Ag 2.38
O1 0.0000 0.0000 0.0000  2 Th 2.13

**Raw formation energy**: -219.6 meV per atom
**Calculated volume**: 164.6 Å³/f.u.

(3)
The following is a DFT calculation (PBE) of a geometry-optimized RbPu2ZnF8 structure.

Cell lengths 4.1024, 6.2410, 7.5903 Å; angles 87.06, 77.22, 87.66 degrees
Last column: nearest neighbours and their distance in Å.
Sites, in units of the cell vectors:
Rb1 0.0000 0.0000 0.0000  8 F 2.76-2.95
Pu1 0.3750 0.5060 0.2741  8 F 2.38-2.57
Pu2 0.6250 0.4940 0.7259  8 F 2.38-2.57
Zn1 0.0000 0.0000 0.5000  2 F 1.89
F1 0.1321 0.7354 0.6838  1 Zn 2.23
F2 0.1983 0.3375 0.5822  1 Zn 2.45, 3 Pu 2.48-2.54, 4 F 2.62-2.73
F3 0.3354 0.9067 0.3032  1 Zn 1.89
F4 0.4690 0.3011 0.0101  2 Pu 2.38-2.39, 1 F 2.50
F5 0.5310 0.6989 0.9899  2 Pu 2.38-2.39, 1 F 2.50
F6 0.6646 0.0933 0.6968  1 Zn 1.89
F7 0.8017 0.6625 0.4178  1 Zn 2.45, 3 Pu 2.48-2.54, 4 F 2.62-2.73
F8 0.8679 0.2646 0.3162  1 Zn 2.23

**Raw formation energy**: -2997.1 meV per atom
**Calculated volume**: 189.2 Å³/f.u.

(4)
The following is a DFT calculation (PBE) of a geometry-optimized KZnCrTe3 structure.

Cell lengths 9.1711, 4.1843, 10.3145 Å; angles 90.00, 110.45, 90.00 degrees
Last column: nearest neighbours and their distance in Å.
Sites, in units of the cell vectors:
K1 0.2111 0.2500 0.2437  7 Te 3.59-3.75
K2 0.7889 0.7500 0.7563  7 Te 3.59-3.75
Zn1 0.0780 0.2500 0.6003  4 Te 2.61-2.78
Zn2 0.9220 0.7500 0.3997  4 Te 2.61-2.78
Cr1 0.3334 0.7500 0.8556  6 Te 2.73-2.93
Cr2 0.6666 0.2500 0.1444  6 Te 2.73-2.93
Te1 0.1309 0.2500 0.8656  1 Zn 2.61, 2 Cr 2.82
Te2 0.2388 0.7500 0.5533  3 Zn 2.70-2.78, 1 Cr 2.93
Te3 0.4664 0.7500 0.1371  3 Cr 2.73-2.77
Te4 0.5336 0.2500 0.8629  3 Cr 2.73-2.77
Te5 0.7612 0.2500 0.4467  3 Zn 2.70-2.78, 1 Cr 2.93
Te6 0.8691 0.7500 0.1344  1 Zn 2.61, 2 Cr 2.82

**Raw formation energy**: -509.7 meV per atom
**Calculated volume**: 185.4 Å³/f.u.

| no. | final energy (hartree per atom) | total magnetization (μB/atom) |
| --- | --- | --- |
| 1 | -0.166 | 0.60 |
| 2 | -0.213 | 0.00 |
| 3 | -0.251 | 0.92 |
| 4 | -0.150 | 0.50 |